No. 1
Compound: Sm2Co2Ir
Source: Alexandria
Functional: GGA-PBE
Structure: optimized geometry

The density of states at the Fermi level comes out at 24.21 states/eV/cell. As for the crystal system: tetragonal. The calculation puts the formation energy at -206 meV per atom.

Cell lengths 6.7063, 6.7063, 8.3252 Å; angles 90.00, 90.00, 90.00 degrees
Element x y z (fractional)
1 Co 0.8820 0.6180 0.2500
2 Co 0.6180 0.1180 0.7500
3 Co 0.6180 0.1180 0.2500
4 Co 0.1180 0.3820 0.7500
5 Co 0.1180 0.3820 0.2500
6 Co 0.8820 0.6180 0.7500
7 Co 0.3820 0.8820 0.7500
8 Co 0.3820 0.8820 0.2500
9 Ir 0.5000 0.5000 0.7501
10 Ir 0.0000 0.0000 0.2501
11 Ir 0.0000 0.0000 0.7499
12 Ir 0.5000 0.5000 0.2499
13 Sm 0.3133 0.1866 0.0000
14 Sm 0.8133 0.3134 0.5000
15 Sm 0.1866 0.6867 0.0000
16 Sm 0.6866 0.8133 0.5000
17 Sm 0.3134 0.1867 0.5000
18 Sm 0.8134 0.3133 0.0000
19 Sm 0.6867 0.8134 0.0000
20 Sm 0.1867 0.6866 0.5000

No. 2
Compound: Tl2HgBr4
Source: Alexandria
Functional: GGA-PBE
Structure: optimized geometry

As for the uncorrected formation energy: -631 meV/atom. As for the crystal system: tetragonal. The excess energy over the best structure of this formula in the dataset is 0.048 eV/atom.

Cell lengths 5.7327, 5.7327, 8.9505 Å; angles 71.32, 71.32, 90.00 degrees
Element x y z (fractional)
1 Br 0.0000 0.5000 0.0000
2 Br 0.8292 0.8292 0.3416
3 Br 0.5000 0.0000 0.0000
4 Br 0.1708 0.1708 0.6584
5 Tl 0.6310 0.6310 0.7380
6 Tl 0.3690 0.3690 0.2620
7 Hg 0.0000 0.0000 0.0000

No. 3
Compound: NaCe2C
Source: Alexandria
Functional: GGA-PBE
Structure: optimized geometry

The density of states at the Fermi level comes out at 8.04 states/eV/cell. As for the crystal system: trigonal. The calculation puts the formation energy at -40 meV per atom.

Cell lengths 3.4927, 3.4927, 10.4743 Å; angles 80.40, 80.40, 60.00 degrees
Element x y z (fractional)
1 C 0.5000 0.5000 0.5000
2 Ce 0.1204 0.1204 0.6387
3 Ce 0.8796 0.8796 0.3613
4 Na 0.0000 0.0000 0.0000

No. 4
Compound: K2Bi2S5
Source: Alexandria
Functional: GGA-PBE
Structure: optimized geometry

As for the uncorrected formation energy: -554 meV/atom. As for the crystal system: monoclinic.

Cell lengths 5.5312, 7.2421, 8.7087 Å; angles 66.46, 71.48, 67.55 degrees
Element x y z (fractional)
1 S 0.3343 0.4731 0.8583
2 S 0.6657 0.5269 0.1417
3 S 0.0000 0.0000 0.0000
4 S 0.9319 0.6656 0.4707
5 S 0.0681 0.3344 0.5293
6 K 0.3956 0.9386 0.2702
7 K 0.6044 0.0614 0.7298
8 Bi 0.8664 0.4123 0.8550
9 Bi 0.1336 0.5877 0.1450